--- 1 ---
Compound: Pm2HoSn
Source: Alexandria via LeMat-Bulk
Functional: GGA-PBE
Structure: optimized geometry

It has space group Fm-3m (No. 225), with a = 7.7716 Å, b = 7.7716 Å, c = 7.7716 Å, α = 90.00°, β = 90.00° and γ = 90.00°. The asymmetric unit holds Pm at (0.2500, 0.2500, 0.2500), Ho at (0.0000, 0.0000, 0.0000) and Sn at (0.0000, 0.0000, 0.5000).

For the density of states at the Fermi level, the calculation gives 27.32 states/eV per cell.

=====

--- 2 ---
Compound: Pm2HoSn
Source: Alexandria via LeMat-Bulk
Functional: GGA-PBE
Structure: optimized geometry

It has space group R-3m (No. 166, hexagonal axes), with a = 3.4968 Å, b = 3.4968 Å, c = 36.0104 Å, α = 90.00°, β = 90.00° and γ = 120.00°. The asymmetric unit holds Pm at (0.0000, 0.0000, 0.0935), Ho at (0.0000, 0.0000, 0.0000) and Sn at (0.0000, 0.0000, 0.5000).

For the density of states at the Fermi level, the calculation gives 19.76 states/eV per cell.

=====

--- 3 ---
Compound: Pm2HoSn
Source: Alexandria via LeMat-Bulk
Functional: GGA-PBE
Structure: optimized geometry

It has space group Pmmn (No. 59, origin choice 2), with a = 5.6539 Å, b = 6.6851 Å, c = 6.1915 Å, α = 90.00°, β = 90.00° and γ = 90.00°. The asymmetric unit holds Pm at (0.2500, 0.0014, 0.1435), Ho at (0.2500, 0.2500, 0.6246) and Sn at (0.2500, 0.7500, 0.6554).

For the density of states at the Fermi level, the calculation gives 8.64 states/eV per cell.

=====

--- 4 ---
Compound: Pm2HoSn
Source: Alexandria via LeMat-Bulk
Functional: GGA-PBE
Structure: optimized geometry

It has space group P4/mmm (No. 123), with a = 4.8506 Å, b = 4.8506 Å, c = 4.9295 Å, α = 90.00°, β = 90.00° and γ = 90.00°. The asymmetric unit holds Pm at (0.0000, 0.5000, 0.0000), Ho at (0.0000, 0.0000, 0.5000) and Sn at (0.5000, 0.5000, 0.5000).

For the density of states at the Fermi level, the calculation gives 4.21 states/eV per cell.

=====

Q: Which of them is the most stable? A: 4.